Record 1
UPa2MnC4 | the Alexandria database | PBE | optimized geometry; ΔH_f (0 K) = -0.12 eV/atom; total DFT energy (no corrections) = -0.7106 Ry per atom; space group = Cmcm
1.0
1.694 -5.774 0.000
1.694 5.774 0.000
0.000 0.000 11.660
U Pa Mn C
2 4 2 8
Cartesian
1.694 4.579 8.745
1.694 -4.579 2.915
1.694 1.568 6.453
1.694 1.568 11.037
1.694 -1.568 0.623
1.694 -1.568 5.207
1.694 4.002 2.915
1.694 -4.002 8.745
0.000 0.000 0.000
0.000 0.000 5.830
1.694 2.549 1.617
1.694 2.549 4.213
1.694 0.576 8.745
1.694 -0.576 2.915
1.694 -2.549 7.447
1.694 -2.549 10.043



Record 2
CaMgTi2O6 | the Alexandria database | PBE | optimized geometry; total DFT energy (no corrections) = -0.5817 Ry per atom; E_form (uncorrected) = -3.00 eV per atom; space group = C2/c
1.0
4.708 -5.357 0.000
4.708 5.357 0.000
-2.605 0.000 5.633
Ca Mg Ti O
2 2 4 12
Cartesian
2.754 4.252 4.225
4.056 -4.252 1.408
4.056 3.218 1.408
2.754 -3.218 4.225
1.154 0.865 4.571
2.457 -0.865 1.755
4.354 0.865 3.878
5.656 -0.865 1.062
-0.514 0.820 3.803
1.341 2.540 5.189
0.789 -0.820 0.986
2.190 0.491 3.037
4.167 2.540 3.260
3.493 -0.491 0.220
3.317 0.491 5.413
2.644 -2.540 2.373
4.620 -0.491 2.596
6.021 0.820 4.646
5.469 -2.540 0.444
7.324 -0.820 1.830



Record 3
Ca2Hf3S8 | the Alexandria database | PBE | optimized geometry; total DFT energy (no corrections) = -0.5059 Ry per atom; E_form (uncorrected) = -1.74 eV per atom; space group = C2/m
1.0
6.913 -3.759 0.000
6.913 3.759 0.000
-2.063 0.000 6.064
Ca Hf S
2 3 8
Cartesian
2.975 0.000 0.974
8.788 0.000 5.091
5.881 1.980 3.032
6.913 0.000 0.000
5.881 -1.980 3.032
0.652 0.000 2.647
5.178 1.757 0.592
6.584 1.757 5.472
4.204 0.000 3.600
7.559 0.000 2.464
5.178 -1.757 0.592
6.584 -1.757 5.472
11.111 0.000 3.417



Record 4
Li4SbAs | the Alexandria database | PBE | optimized geometry; energy above the lowest structure with this stoichiometry = 417 meV/atom; total DFT energy (no corrections) = -0.2122 Ry per atom; E_form (uncorrected) = -0.15 eV per atom; space group = F-43m
1.0
0.000 3.740 3.740
3.740 0.000 3.740
3.740 3.740 0.000
Li Sb As
4 1 1
Cartesian
0.934 0.934 0.934
2.806 2.806 0.934
2.806 0.934 2.806
0.934 2.806 2.806
5.609 5.609 5.609
3.740 3.740 3.740



Record 5
Ac2TmPd4Pb3 | the Alexandria database | PBE | optimized geometry; ΔH_f (0 K) = -0.63 eV/atom; total DFT energy (no corrections) = -0.3742 Ry per atom; space group = P-4m2
1.0
4.783 0.000 0.000
0.000 4.783 0.000
0.000 0.000 11.261
Ac Tm Pd Pb
2 1 4 3
Cartesian
0.000 2.391 2.549
2.391 0.000 8.712
0.000 0.000 5.631
0.000 0.000 0.000
0.000 2.391 7.159
2.391 0.000 4.102
2.391 2.391 0.000
0.000 2.391 9.864
2.391 0.000 1.397
2.391 2.391 5.631